Record 1
First-principles (GGA-PBE) data for Zr2BeGa2 after structural relaxation, as listed in Alexandria.

a = 6.4677 Å, b = 6.4677 Å, c = 4.1921 Å
α = 90.00°, β = 90.00°, γ = 90.00°
Positions (direct):
1 Zr 0.6723 0.8277 0.5000
2 Zr 0.3277 0.1723 0.5000
3 Zr 0.8277 0.3277 0.5000
4 Zr 0.1723 0.6723 0.5000
5 Be 0.0000 0.0000 0.0000
6 Be 0.5000 0.5000 0.0000
7 Ga 0.3635 0.8635 0.0000
8 Ga 0.8635 0.6365 0.0000
9 Ga 0.1365 0.3635 0.0000
10 Ga 0.6365 0.1365 0.0000

Density of states at the Fermi level: 0.57 states/eV/atom
Space group: P4/mbm
V: 175.36 Å³ per cell

Record 2
First-principles (GGA-PBE) data for Gd3Be after structural relaxation, as listed in Alexandria.

a = 3.6069 Å, b = 5.2353 Å, c = 6.4753 Å
α = 113.84°, β = 106.17°, γ = 90.00°
Last column: magnetic moment on the atom in μB.
Positions (direct):
1 Be 0.0000 0.9169 0.0000  -0.04
2 Gd 0.5000 0.4167 0.0000  7.12
3 Gd 0.7030 0.1196 0.4060  7.22
4 Gd 0.2970 0.7136 0.5940  7.22

Density of states at the Fermi level: 1.29 states/eV/atom
Space group: Immm
V: 106.53 Å³ per cell

Record 3
First-principles (GGA-PBE) data for GdBe13 after structural relaxation, as listed in Alexandria.

a = 7.2202 Å, b = 7.2202 Å, c = 7.2202 Å
α = 60.00°, β = 60.00°, γ = 60.00°
Last column: magnetic moment on the atom in μB.
Positions (direct):
1 Be 0.0629 0.2901 0.7099  0.00
2 Be 0.7901 0.2099 0.4371  0.00
3 Be 0.5629 0.7901 0.4371  0.00
4 Be 0.4371 0.2099 0.5629  0.00
5 Be 0.9371 0.0629 0.7099  0.00
6 Be 0.7099 0.9371 0.0629  0.00
7 Be 0.4371 0.7901 0.2099  0.00
8 Be 0.9371 0.2901 0.0629  0.00
9 Be 0.2901 0.7099 0.0629  0.00
10 Be 0.2099 0.4371 0.7901  0.00
11 Be 0.7099 0.2901 0.9371  0.00
12 Be 0.5629 0.2099 0.7901  0.00
13 Be 0.5629 0.4371 0.2099  0.00
14 Be 0.0000 0.0000 0.0000  0.02
15 Be 0.7099 0.0629 0.2901  0.00
16 Be 0.2901 0.9371 0.7099  0.00
17 Be 0.2901 0.0629 0.9371  0.00
18 Be 0.4371 0.5629 0.7901  0.00
19 Be 0.9371 0.7099 0.2901  0.00
20 Be 0.0629 0.7099 0.9371  0.00
21 Be 0.5000 0.5000 0.5000  0.02
22 Be 0.2099 0.7901 0.5629  0.00
23 Be 0.7901 0.4371 0.5629  0.00
24 Be 0.0629 0.9371 0.2901  0.00
25 Be 0.7901 0.5629 0.2099  0.00
26 Be 0.2099 0.5629 0.4371  0.00
27 Gd 0.2500 0.2500 0.2500  7.03
28 Gd 0.7500 0.7500 0.7500  7.03

Density of states at the Fermi level: 0.21 states/eV/atom
Space group: Fm-3c
V: 266.16 Å³ per cell

no.,formation energy (eV per atom)
1,-0.38
2,0.12
3,-0.19